YTa3As | PBE | relaxed

The structure in extended XYZ format:
```
5
Lattice="4.9480 0.0000 0.0000 0.0000 4.9480 0.0000 0.0000 0.0000 4.9480" Properties=species:S:1:pos:R:3 pbc="T T T"
Y 0.0000 0.0000 0.0000
As 2.4740 2.4740 2.4740
Ta 0.0000 2.4740 0.0000
Ta 0.0000 0.0000 2.4740
Ta 2.4740 0.0000 0.0000
```

- Calculated formation energy: 2.41 eV/atom
- Space group: Pm-3m (221)
- Volume: 24.228 Å³/atom
- ΔE to the lowest computed polymorph: 1878 meV per atom



SmY2HfN4 | PBE | relaxed

The structure in extended XYZ format:
```
8
Lattice="3.4180 0.0000 0.0000 0.0000 5.9539 0.1235 0.0000 -2.0630 5.5524" Properties=species:S:1:pos:R:3 pbc="T T T"
Sm 1.7090 2.9769 0.0617
Y 1.7090 -1.0315 2.7762
Y 0.0000 1.9454 2.8380
Hf 0.0000 0.0000 0.0000
N 1.7090 0.8808 1.3264
N 1.7090 3.0100 4.3495
N 0.0000 -0.1767 4.2332
N 0.0000 4.0676 1.4427
```

- Space group: P2/m (10)
- Volume: 14.233 Å³/atom
- ΔE_f (raw): -1.663 eV/atom



TlReHg2 | PBE | relaxed

The structure in extended XYZ format:
```
4
Lattice="-2.0573 2.0286 4.3688 -2.6755 -0.1653 -1.1831 -0.5915 -4.9801 2.0339" Properties=species:S:1:pos:R:3 pbc="T T T"
Hg -0.8986 -4.7599 1.7870
Hg -1.5489 -0.5791 2.6793
Re -1.9309 -2.2784 0.1487
Tl -3.1707 -3.0521 3.0639
```

- Calculated formation energy: 0.85 eV/atom
- Space group: Pmm2 (25)
- Volume: 20.764 Å³/atom
- ΔE to the lowest computed polymorph: 249 meV per atom



Rb2CrCuSe4 | PBE | relaxed

The structure in extended XYZ format:
```
16
Lattice="-1.9939 2.3152 4.8584 -4.8136 -4.5480 3.5817 8.3062 -3.8156 8.6172" Properties=species:S:1:pos:R:3 pbc="T T T"
Rb 4.9597 -2.0266 6.3913
Rb 1.3526 0.5263 7.0843
Rb 3.5973 -4.2343 11.9691
Rb -3.0957 -0.6565 7.5173
Cr 0.2508 -2.4454 9.7432
Cr 0.0000 0.0000 0.0000
Cu 1.2478 -3.6030 7.3140
Cu -0.9970 1.1576 2.4292
Se -3.5471 -3.4631 5.1590
Se 6.1135 -3.8252 9.2964
Se 1.6826 -4.9650 15.0419
Se -1.2518 0.1564 4.6171
Se -1.0157 -3.5304 8.1659
Se 2.4435 -2.4358 9.0640
Se 0.0669 -3.5288 11.7586
Se 1.5026 -2.6018 5.1261
```

- Space group: Fddd (70)
- Volume: 30.536 Å³/atom
- ΔE_f (raw): -0.746 eV/atom



Tb2GdBi | PBE | relaxed

The structure in extended XYZ format:
```
4
Lattice="-0.6181 -0.7822 -3.9994 -3.7728 -1.4193 0.8607 -2.6842 6.6037 -0.8767" Properties=species:S:1:pos:R:3 pbc="T T T"
Gd -3.5376 2.2011 -2.0077
Tb -2.0627 5.0747 -0.6737
Tb -0.6215 1.5290 -0.2030
Bi -2.1955 -1.1007 -1.5694
```

- Calculated formation energy: -0.36 eV/atom
- Space group: P4/mmm (123)
- Volume: 30.504 Å³/atom
- ΔE to the lowest computed polymorph: 15 meV per atom



PmNpCdO6 | PBE | relaxed

The structure in extended XYZ format:
```
18
Lattice="-2.9566 0.6247 -4.7631 5.5555 -0.9495 -0.2328 -1.7054 -9.9188 -0.2423" Properties=species:S:1:pos:R:3 pbc="T T T"
Pm 0.0000 0.0000 0.0000
Pm -0.8527 -4.9594 -0.1212
Np -0.5456 -2.3797 -3.3136
Np 1.4391 -7.8639 -1.9246
Cd 2.2918 -2.9045 -1.8035
Cd -1.3983 -7.3391 -3.4348
O 1.2980 -1.5220 -3.4000
O -1.2654 -1.0501 -4.6759
O 3.2859 -7.0089 -1.9209
O 2.1588 -9.1935 -0.5624
O 0.0989 -3.6976 -1.9030
O 0.0697 -3.6217 -4.8038
O 1.9757 -9.0913 -3.4567
O -2.3924 -3.2347 -3.3173
O 0.8238 -6.6219 -0.4344
O -1.0822 -1.1523 -1.7815
O 0.7946 -6.5460 -3.3352
O -0.4045 -8.7216 -1.8383
```

- Space group: P-31c (163)
- Volume: 15.412 Å³/atom
- ΔE_f (raw): -2.454 eV/atom



Cs2CdMo | PBE | relaxed

The structure in extended XYZ format:
```
4
Lattice="-4.1806 -0.8237 4.3707 -5.9145 -0.3665 -1.4639 -2.9313 -5.3349 0.4531" Properties=species:S:1:pos:R:3 pbc="T T T"
Cs -3.2566 -1.6313 0.8400
Cs -9.7698 -4.8939 2.5199
Mo 0.0000 0.0000 0.0000
Cd -6.5132 -3.2626 1.6800
```

- Calculated formation energy: 1.26 eV/atom
- Space group: Fm-3m (225)
- Volume: 40.204 Å³/atom



Pm3Ni4P4 | PBE | relaxed

The structure in extended XYZ format:
```
11
Lattice="-1.0709 -0.7633 -3.7773 3.7781 -0.4149 -0.9859 0.7544 -11.8268 0.0570" Properties=species:S:1:pos:R:3 pbc="T T T"
Pm 2.8226 -8.6691 -1.1661
Pm 0.6391 -4.3359 -3.5403
Pm 0.7544 -11.8268 0.0570
Ni 0.3323 -10.0481 -2.3009
Ni 1.0548 -6.2146 -1.1621
Ni 2.4068 -6.7907 -3.5441
Ni 3.1293 -2.9570 -2.4054
P 2.1694 -11.2511 -2.5766
P 1.2922 -1.7538 -2.1298
P 3.0093 -5.1865 -1.9219
P 0.4523 -7.8186 -2.7844
```

- Calculated formation energy: -1.11 eV/atom
- Space group: Immm (71)
- Volume: 16.441 Å³/atom